Compound: Tl2Cu2TeS6
Source: the Alexandria database
Functional: GGA-PBE
Structure: relaxed

a b c (Å): 7.024 7.041 7.372
angles (deg): 118.84 90.00 119.92
Positions (direct):
Tl1 0.732 0.463 0.193
Tl2 0.268 0.537 0.807
Cu1 0.895 0.791 0.685
Cu2 0.105 0.209 0.315
Te1 0.500 0.000 0.500
S1 0.749 0.498 0.768
S2 0.251 0.979 0.232
S3 0.272 0.021 0.768
S4 0.749 0.021 0.768
S5 0.728 0.979 0.232
S6 0.251 0.502 0.232

## Properties
For the density of states at the Fermi level, the calculation gives 9.2 states/eV/f.u. The size of the total moment comes out at 0.00 μB/cell. The crystal system is monoclinic. Its energy relative to the elements, uncorrected is 0.053 eV per atom.